Here is crystalline Ba4Cu11Te8S2 at its relaxed geometry from Alexandria via LeMat-Bulk. Energies are from PBEsol.

```
data_Ba4Cu11Te8S2
_cell_length_a 9.484
_cell_length_b 4.238
_cell_length_c 13.968
_cell_angle_alpha 90.00
_cell_angle_beta 90.02
_cell_angle_gamma 90.00
_space_group_name_H-M_alt 'P 1 m 1'
_space_group_IT_number 6
loop_
_space_group_symop_operation_xyz
'x,y,z'
'x,-y,z'
loop_
_atom_site_label
_atom_site_fract_x
_atom_site_fract_y
_atom_site_fract_z
Ba1 0.000 0.000 0.000
Ba2 0.036 0.000 0.674
Ba3 0.496 0.000 0.180
Ba4 0.543 0.000 0.498
Cu1 0.011 0.500 0.294
Cu2 0.142 0.000 0.248
Cu3 0.270 0.500 0.338
Cu4 0.271 0.500 0.824
Cu5 0.392 0.000 0.743
Cu6 0.502 0.500 0.927
Cu7 0.535 0.500 0.750
Cu8 0.645 0.000 0.935
Cu9 0.764 0.500 0.349
Cu10 0.765 0.500 0.854
Cu11 0.910 0.000 0.429
Te1 0.187 0.000 0.432
Te2 0.210 0.500 0.146
Te3 0.319 0.500 0.636
Te4 0.347 0.000 0.933
Te5 0.691 0.000 0.746
Te6 0.718 0.500 0.042
Te7 0.830 0.500 0.530
Te8 0.852 0.000 0.245
S1 0.018 0.500 0.838
S2 0.519 0.500 0.338
```

The value obtained for the volume is 561.45 Å³ per cell. Its formation energy from raw total energies is -15.2 kcal/mol of atoms.

---

Here is crystalline LaY2Ru at its relaxed geometry from Alexandria via LeMat-Bulk. Energies are from PBEsol.

```
data_LaY2Ru
_cell_length_a 11.782
_cell_length_b 3.644
_cell_length_c 5.403
_cell_angle_alpha 90.00
_cell_angle_beta 116.74
_cell_angle_gamma 90.00
_space_group_name_H-M_alt 'C 1 m 1'
_space_group_IT_number 8
loop_
_space_group_symop_operation_xyz
'x,y,z'
'x,-y,z'
'x+1/2,y+1/2,z'
'x+1/2,-y+1/2,z'
loop_
_atom_site_label
_atom_site_fract_x
_atom_site_fract_y
_atom_site_fract_z
La1 0.000 0.000 0.000
Y1 0.197 0.000 0.694
Y2 0.390 0.000 0.390
Ru1 0.192 0.500 0.228
```

The value obtained for the volume is 207.14 Å³ per cell. The calculation puts the formation energy at -0.137 eV/atom.

---

Here is crystalline LiMg14MnO16 at its relaxed geometry from Alexandria via LeMat-Bulk. Energies are from PBEsol.

```
data_LiMg14MnO16
_cell_length_a 4.205
_cell_length_b 8.389
_cell_length_c 8.428
_cell_angle_alpha 90.00
_cell_angle_beta 90.00
_cell_angle_gamma 90.00
_space_group_name_H-M_alt 'P m m m'
_space_group_IT_number 47
loop_
_space_group_symop_operation_xyz
'x,y,z'
'-x,-y,-z'
'-x,-y,z'
'x,y,-z'
'x,-y,-z'
'-x,y,z'
'-x,y,-z'
'x,-y,z'
loop_
_atom_site_label
_atom_site_fract_x
_atom_site_fract_y
_atom_site_fract_z
Li1 0.000 0.000 0.000
Mg1 0.000 0.000 0.500
Mg2 0.000 0.245 0.250
Mg3 0.000 0.500 0.500
Mg4 0.500 0.000 0.244
Mg5 0.500 0.242 0.000
Mg6 0.500 0.248 0.500
Mg7 0.500 0.500 0.251
Mn1 0.000 0.500 0.000
O1 0.000 0.000 0.254
O2 0.000 0.253 0.500
O3 0.000 0.272 0.000
O4 0.000 0.500 0.248
O5 0.500 0.000 0.000
O6 0.500 0.000 0.500
O7 0.500 0.252 0.249
O8 0.500 0.500 0.000
O9 0.500 0.500 0.500
```

The value obtained for the volume is 297.27 Å³ per cell. Its formation energy from raw total energies is -60.4 kcal/mol of atoms.

---

Here is crystalline AuCClO at its relaxed geometry from Alexandria via LeMat-Bulk. Energies are from PBEsol.

```
data_AuCClO
_cell_length_a 4.235
_cell_length_b 17.096
_cell_length_c 4.939
_cell_angle_alpha 90.00
_cell_angle_beta 90.00
_cell_angle_gamma 90.00
_space_group_name_H-M_alt 'C m c m'
_space_group_IT_number 63
_space_group_name_Hall '-C 2c 2'
loop_
_atom_site_label
_atom_site_fract_x
_atom_site_fract_y
_atom_site_fract_z
Au1 0.000 0.239 0.250
C1 0.000 0.128 0.250
Cl1 0.000 0.370 0.250
O1 0.000 0.061 0.250
```

The value obtained for the volume is 357.61 Å³ per cell. Its formation energy from raw total energies is -8.3 kcal/mol of atoms.

---

Here is crystalline Cs3AgF at its relaxed geometry from Alexandria via LeMat-Bulk. Energies are from PBEsol.

```
data_Cs3AgF
_cell_length_a 5.837
_cell_length_b 5.837
_cell_length_c 5.837
_cell_angle_alpha 90.00
_cell_angle_beta 90.00
_cell_angle_gamma 90.00
_space_group_name_H-M_alt 'P m -3 m'
_space_group_IT_number 221
_space_group_name_Hall '-P 4 2 3'
loop_
_atom_site_label
_atom_site_fract_x
_atom_site_fract_y
_atom_site_fract_z
Cs1 0.000 0.000 0.500
Ag1 0.500 0.500 0.500
F1 0.000 0.000 0.000
```

The value obtained for the volume is 198.90 Å³ per cell. Its formation energy from raw total energies is -22.4 kcal/mol of atoms.

---

Here is crystalline ZrTa3Al at its relaxed geometry from Alexandria via LeMat-Bulk. Energies are from PBEsol.

```
data_ZrTa3Al
_cell_length_a 4.808
_cell_length_b 4.808
_cell_length_c 4.808
_cell_angle_alpha 90.00
_cell_angle_beta 90.00
_cell_angle_gamma 90.00
_space_group_name_H-M_alt 'P m -3 m'
_space_group_IT_number 221
_space_group_name_Hall '-P 4 2 3'
loop_
_atom_site_label
_atom_site_fract_x
_atom_site_fract_y
_atom_site_fract_z
Zr1 0.000 0.000 0.000
Ta1 0.000 0.000 0.500
Al1 0.500 0.500 0.500
```

The value obtained for the volume is 111.17 Å³ per cell. The calculation puts the formation energy at 1.882 eV/atom.

---

- What is the formula in the fourth record?
  AuCClO